[1]
A geometry-optimized ZrIn2Fe6 structure. Source: OQMD, functional PBE.

Calculated values
Calculated volume (Å³ per cell): 135
SG: P-62m
Electronic total energy (eV per atom): -6.761

abc: 7.620 7.620 2.680
angles: 90.00 90.00 120.00
Fractional coordinates of all 9 atoms:
Fe1 0.316 0.000 0.000
Fe2 0.000 0.316 0.000
Fe3 0.684 0.684 0.000
Fe4 0.650 0.000 0.500
Fe5 0.350 0.350 0.500
Fe6 0.000 0.650 0.500
In1 0.667 0.333 0.000
In2 0.333 0.667 0.000
Zr1 0.000 0.000 0.500

[2]
A geometry-optimized FeIr structure. Source: OQMD, functional PBE.

Calculated values
Calculated volume (Å³ per cell): 30
SG: Fm-3m
Electronic total energy (eV per atom): -7.852
E_form (eV per atom): 0.729

abc: 3.503 3.503 3.503
angles: 60.00 60.00 60.00
Fractional coordinates of all 2 atoms:
Fe1 0.000 0.000 0.000
Ir1 0.500 0.500 0.500

[3]
A geometry-optimized Fe8Ir5 structure. Source: OQMD, functional PBE.

Calculated values
Calculated volume (Å³ per cell): 341
SG: I-43m
Electronic total energy (eV per atom): -8.470
E_form (eV per atom): 0.049

abc: 7.621 7.621 7.621
angles: 109.47 109.47 109.47
Fractional coordinates of all 26 atoms:
Fe1 0.228 0.000 0.000
Fe2 0.000 0.228 0.000
Fe3 0.699 0.342 0.000
Fe4 0.342 0.699 0.000
Fe5 0.000 0.000 0.228
Fe6 0.642 0.301 0.301
Fe7 0.301 0.642 0.301
Fe8 0.699 0.000 0.342
Fe9 0.000 0.699 0.342
Fe10 0.658 0.658 0.358
Fe11 0.301 0.301 0.642
Fe12 0.658 0.358 0.658
Fe13 0.358 0.658 0.658
Fe14 0.342 0.000 0.699
Fe15 0.000 0.342 0.699
Fe16 0.772 0.772 0.772
Ir1 0.636 0.000 0.000
Ir2 0.352 0.352 0.000
Ir3 0.000 0.636 0.000
Ir4 0.648 0.648 0.000
Ir5 0.352 0.000 0.352
Ir6 0.000 0.352 0.352
Ir7 0.364 0.364 0.364
Ir8 0.000 0.000 0.636
Ir9 0.648 0.000 0.648
Ir10 0.000 0.648 0.648

[4]
A geometry-optimized FeIr structure. Source: OQMD, functional PBE.

Calculated values
Calculated volume (Å³ per cell): 150
SG: I4_1/amd
Electronic total energy (eV per atom): -8.590
E_form (eV per atom): -0.008

abc: 11.464 11.464 11.464
angles: 161.63 161.63 26.09
Fractional coordinates of all 12 atoms:
Fe1 0.000 0.000 0.000
Fe2 0.165 0.165 0.000
Fe3 0.835 0.835 0.000
Fe4 0.585 0.085 0.500
Fe5 0.750 0.250 0.500
Fe6 0.915 0.415 0.500
Ir1 0.333 0.333 0.000
Ir2 0.500 0.500 0.000
Ir3 0.667 0.667 0.000
Ir4 0.083 0.583 0.500
Ir5 0.250 0.750 0.500
Ir6 0.417 0.917 0.500

> calculated volume of number 3 (Fe8Ir5)?

341 Å³ per cell